1.
A relaxed structure of Pr2Tm3Pt4. Source: Alexandria via LeMat-Bulk, functional GGA-PBE.

POSCAR file:
```
Pr2Tm3Pt4
1.0
3.5700 -7.9871 0.0000
3.5700 7.9871 0.0000
0.0000 0.0000 7.7447
Pr Tm Pt
4 6 8
direct
0.0991 0.9009 0.9021
0.4009 0.5991 0.4021
0.5991 0.4009 0.5979
0.9009 0.0991 0.0979
0.0000 0.0000 0.5000
0.0344 0.4656 0.7500
0.4656 0.0344 0.2500
0.5000 0.5000 0.0000
0.5344 0.9656 0.7500
0.9656 0.5344 0.2500
0.1890 0.8110 0.5472
0.2086 0.2914 0.7500
0.2914 0.2086 0.2500
0.3110 0.6890 0.0472
0.6890 0.3110 0.9528
0.7086 0.7914 0.7500
0.7914 0.7086 0.2500
0.8110 0.1890 0.4528
```

Computed properties:
The value obtained for the formation energy is -1.03 eV per atom. As for the energy above the most stable polymorph in this dataset: 0.143 eV per atom. The space group is Cmce.

=====

2.
A relaxed structure of Na2AgPd3. Source: Alexandria via LeMat-Bulk, functional GGA-PBE.

POSCAR file:
```
Na2AgPd3
1.0
4.6746 -2.7057 0.0000
4.6746 2.7057 0.0000
-3.1151 0.0000 4.5457
Na Ag Pd
2 1 3
direct
0.1226 0.1226 0.3677
0.8774 0.8774 0.6323
0.5000 0.5000 0.5000
0.0000 0.5000 0.0000
0.5000 0.0000 0.0000
0.5000 0.5000 0.0000
```

Computed properties:
The value obtained for the formation energy is -0.16 eV per atom. The space group is C2/m.

=====

3.
A relaxed structure of MgAg12Pd6. Source: Alexandria via LeMat-Bulk, functional GGA-PBE.

POSCAR file:
```
MgAg12Pd6
1.0
5.6002 3.2333 3.0899
-5.6002 3.2333 3.0899
0.0000 -6.4666 3.0899
Mg Ag Pd
1 12 6
direct
0.0000 0.0000 0.0000
0.0000 0.2622 0.7378
0.0000 0.7378 0.2622
0.1918 0.5833 0.5833
0.2622 0.0000 0.7378
0.2622 0.7378 0.0000
0.4167 0.4167 0.8082
0.4167 0.8082 0.4167
0.5833 0.1918 0.5833
0.5833 0.5833 0.1918
0.7378 0.0000 0.2622
0.7378 0.2622 0.0000
0.8082 0.4167 0.4167
0.1629 0.1629 0.4122
0.1629 0.4122 0.1629
0.4122 0.1629 0.1629
0.5878 0.8371 0.8371
0.8371 0.5878 0.8371
0.8371 0.8371 0.5878
```

Computed properties:
The value obtained for the formation energy is 0.01 eV per atom. The space group is R-3m.

=====

4.
A relaxed structure of LiZrOs. Source: Alexandria via LeMat-Bulk, functional GGA-PBE.

POSCAR file:
```
LiZrOs
1.0
4.5262 0.0000 0.0000
-2.2631 3.9198 0.0000
0.0000 0.0000 2.7578
Li Zr Os
1 1 1
direct
0.0000 0.0000 0.0000
0.3333 0.6667 0.6312
0.6667 0.3333 0.2796
```

Computed properties:
The value obtained for the formation energy is -0.02 eV per atom. As for the energy above the most stable polymorph in this dataset: 0.000 eV per atom. The space group is P3m1.

=====

5.
A relaxed structure of AlTeW. Source: Alexandria via LeMat-Bulk, functional GGA-PBE.

POSCAR file:
```
AlTeW
1.0
4.8094 0.0000 0.0000
-2.4047 4.1651 0.0000
0.0000 0.0000 2.8571
Al Te W
1 1 1
direct
0.0000 0.0000 0.0000
0.3333 0.6667 0.5000
0.6667 0.3333 0.5000
```

Computed properties:
As for the energy above the most stable polymorph in this dataset: 0.291 eV per atom. The uncorrected formation energy is 58.62 kJ per mole of atoms. The space group is P-6m2.

=====

6.
A relaxed structure of PmMgAu. Source: Alexandria via LeMat-Bulk, functional GGA-PBE.

POSCAR file:
```
PmMgAu
1.0
0.0000 3.4477 3.4477
3.4477 0.0000 3.4477
3.4477 3.4477 0.0000
Pm Mg Au
1 1 1
direct
0.0000 0.0000 0.0000
0.5000 0.5000 0.5000
0.2500 0.2500 0.2500
```

Computed properties:
The value obtained for the formation energy is -0.49 eV per atom. As for the energy above the most stable polymorph in this dataset: 0.166 eV per atom. The space group is F-43m.

=====

7.
A relaxed structure of AlCu2Au2. Source: Alexandria via LeMat-Bulk, functional GGA-PBE.

POSCAR file:
```
AlCu2Au2
1.0
4.1150 -2.0069 0.0000
4.1150 2.0069 0.0000
-3.6842 0.0000 4.5269
Al Cu Au
1 2 2
direct
0.0000 0.0000 0.0000
0.1879 0.1879 0.5732
0.8121 0.8121 0.4268
0.4062 0.4062 0.1935
0.5938 0.5938 0.8065
```

Computed properties:
The value obtained for the formation energy is -0.20 eV per atom. As for the energy above the most stable polymorph in this dataset: 0.000 eV per atom. The space group is C2/m.

=====

8.
A relaxed structure of NbPdPt3. Source: Alexandria via LeMat-Bulk, functional GGA-PBE.

POSCAR file:
```
NbPdPt3
1.0
4.8277 0.0000 0.0000
0.0000 4.8277 0.0000
0.0000 0.0000 4.8277
Nb Pd Pt
1 1 3
direct
0.0000 0.0000 0.0000
0.5000 0.5000 0.5000
0.0000 0.0000 0.5000
0.0000 0.5000 0.0000
0.5000 0.0000 0.0000
```

Computed properties:
The value obtained for the formation energy is 1.03 eV per atom. As for the energy above the most stable polymorph in this dataset: 0.893 eV per atom. The space group is Pm-3m.

=====

9.
A relaxed structure of DyY2Te4. Source: Alexandria via LeMat-Bulk, functional GGA-PBE.

POSCAR file:
```
DyY2Te4
1.0
2.1190 -7.1687 0.0000
2.1190 7.1687 0.0000
0.0000 0.0000 14.9615
Dy Y Te
2 4 8
direct
0.1283 0.8717 0.7500
0.8717 0.1283 0.2500
0.3688 0.6312 0.5696
0.3688 0.6312 0.9304
0.6312 0.3688 0.0696
0.6312 0.3688 0.4304
0.0000 0.0000 0.0000
0.0000 0.0000 0.5000
0.2792 0.7208 0.1224
0.2792 0.7208 0.3776
0.4703 0.5297 0.7500
0.5297 0.4703 0.2500
0.7208 0.2792 0.6224
0.7208 0.2792 0.8776
```

Computed properties:
As for the energy above the most stable polymorph in this dataset: 0.042 eV per atom. The uncorrected formation energy is -130.96 kJ per mole of atoms. The space group is Cmcm.

=====

10.
A relaxed structure of Li2ScBi. Source: Alexandria via LeMat-Bulk, functional GGA-PBE.

POSCAR file:
```
Li2ScBi
1.0
4.2753 0.0000 0.0000
0.0000 4.2753 0.0000
0.0000 0.0000 4.6868
Li Sc Bi
2 1 1
direct
0.0000 0.5000 0.0000
0.5000 0.0000 0.0000
0.0000 0.0000 0.5000
0.5000 0.5000 0.5000
```

Computed properties:
The value obtained for the formation energy is -0.41 eV per atom. The space group is P4/mmm.

=====

11.
A relaxed structure of HoTh3N4. Source: Alexandria via LeMat-Bulk, functional GGA-PBE.

POSCAR file:
```
HoTh3N4
1.0
5.1166 0.0000 0.0000
0.0000 5.1166 0.0000
0.0000 0.0000 5.1166
Ho Th N
1 3 4
direct
0.0000 0.0000 0.0000
0.0000 0.5000 0.5000
0.5000 0.0000 0.5000
0.5000 0.5000 0.0000
0.0000 0.0000 0.5000
0.0000 0.5000 0.0000
0.5000 0.0000 0.0000
0.5000 0.5000 0.5000
```

Computed properties:
The uncorrected formation energy is -153.13 kJ per mole of atoms. The space group is Pm-3m.

=====

12.
A relaxed structure of Li4Mg2Sn3. Source: Alexandria via LeMat-Bulk, functional GGA-PBE.

POSCAR file:
```
Li4Mg2Sn3
1.0
5.0919 0.0000 0.0000
2.5201 4.5269 0.0000
0.2790 2.7988 8.1090
Li Mg Sn
4 2 3
direct
0.1172 0.1000 0.3273
0.3319 0.3417 0.9932
0.6681 0.6583 0.0068
0.8828 0.9000 0.6727
0.2159 0.2297 0.6743
0.7841 0.7703 0.3257
0.0000 0.0000 0.0000
0.4571 0.4250 0.3338
0.5429 0.5750 0.6662
```

Computed properties:
The value obtained for the formation energy is -0.29 eV per atom. The space group is P-1.

=====

13.
A relaxed structure of CaLaCuPd. Source: Alexandria via LeMat-Bulk, functional GGA-PBE.

POSCAR file:
```
CaLaCuPd
1.0
4.4153 0.0000 0.0000
0.0000 2.0273 5.5592
0.0000 -2.0273 5.5592
Ca La Cu Pd
1 1 1 1
direct
0.0000 0.0000 0.0000
0.5000 0.7242 0.7242
0.5000 0.4327 0.4327
0.0000 0.2850 0.2850
```

Computed properties:
The value obtained for the formation energy is -0.48 eV per atom. The space group is Amm2.

=====

14.
A relaxed structure of TlTcSb2. Source: Alexandria via LeMat-Bulk, functional GGA-PBE.

POSCAR file:
```
TlTcSb2
1.0
3.6966 0.0000 0.0000
0.0000 4.9166 0.0000
0.0000 0.0000 4.9875
Tl Tc Sb
1 1 2
direct
0.0000 0.0000 0.0000
0.5000 0.5000 0.0000
0.0000 0.5000 0.5000
0.5000 0.0000 0.5000
```

Computed properties:
As for the energy above the most stable polymorph in this dataset: 0.693 eV per atom. The uncorrected formation energy is 68.34 kJ per mole of atoms. The space group is Pmmm.

=====

15.
A relaxed structure of La2ReSi. Source: Alexandria via LeMat-Bulk, functional GGA-PBE.

POSCAR file:
```
La2ReSi
1.0
-1.7994 2.3653 5.6519
1.7994 -2.3653 5.6519
1.7994 2.3653 -5.6519
La Re Si
2 1 1
direct
0.0000 0.0000 0.0000
0.7145 0.2145 0.5000
0.2656 0.7656 0.5000
0.4112 0.4112 0.0000
```

Computed properties:
The uncorrected formation energy is -13.47 kJ per mole of atoms. The space group is Imm2.

=====

16.
A relaxed structure of CaRe3O. Source: Alexandria via LeMat-Bulk, functional GGA-PBE.

POSCAR file:
```
CaRe3O
1.0
4.6442 0.0000 0.0000
0.0000 4.6442 0.0000
0.0000 0.0000 4.6442
Ca Re O
1 3 1
direct
0.0000 0.0000 0.0000
0.0000 0.0000 0.5000
0.0000 0.5000 0.0000
0.5000 0.0000 0.0000
0.5000 0.5000 0.5000
```

Computed properties:
As for the energy above the most stable polymorph in this dataset: 3.314 eV per atom. The uncorrected formation energy is 388.54 kJ per mole of atoms. The space group is Pm-3m.

=====

| no. | M_tot (μB/cell) |
| --- | --- |
| 1 | 0.00 |
| 2 | 0.00 |
| 3 | 0.00 |
| 4 | 0.00 |
| 5 | 0.00 |
| 6 | 0.23 |
| 7 | 0.00 |
| 8 | 0.00 |
| 9 | 0.00 |
| 10 | 0.00 |
| 11 | 0.00 |
| 12 | 0.00 |
| 13 | 0.00 |
| 14 | 0.35 |
| 15 | 0.00 |
| 16 | 2.76 |